Nd5Dy4Ho2 | Alexandria | PBE | relaxed; Fermi-level density of states = 1.396 states/eV/atom; formation enthalpy at 0 K = 0.0745 eV/atom
1.0
8.8574 -1.7788 0.0000
8.8574 1.7788 0.0000
-0.8140 0.0000 11.6224
Nd Dy Ho
5 4 2
Cartesian
0.0000 0.0000 0.0000 Nd
4.9679 0.0000 10.7977 Nd
6.7636 0.0000 5.3940 Nd
10.1372 0.0000 6.2284 Nd
11.9329 0.0000 0.8247 Nd
1.8443 0.0000 9.2404 Dy
7.6171 0.0000 8.5928 Dy
9.2837 0.0000 3.0296 Dy
15.0565 0.0000 2.3820 Dy
3.5340 0.0000 4.1034 Ho
13.3668 0.0000 7.5189 Ho